This record from Alexandria via LeMat-Bulk describes BaLaTa2 at its PBEsol-relaxed geometry. The functional is SCAN.

Cell lengths 3.5449, 3.5450, 9.0720 Å; angles 90.00, 90.11, 90.00 degrees
Closest atoms and distances in Å follow each position.
Element x y z (fractional)
Ta (0.5005, 0.5000, 0.8226)  4 Ta 2.76
Ta (0.0011, 0.0000, 0.9501)  4 Ta 2.76
La (0.5007, 0.5000, 0.1765)  5 Ta 3.21-3.24, 4 La 3.54-3.55
Ba (0.9978, 0.0000, 0.5510)  5 Ta 3.51-3.62, 4 Ba 3.54-3.55

Properties
D(E_F): 4.53 states/eV per cell
crystal system: monoclinic
E_tot: -53.46 eV per atom
symmetry: No. 6
total magnetization: 0.001 μB/f.u.